A relaxed Pm2TmIn2 crystal, computed with PBE-GGA.

Cell and atoms, written as extended XYZ:
```
10
Lattice="4.966 0.000 0.000 0.000 6.630 0.000 -2.483 0.000 8.757" Properties=species:S:1:pos:R:3 pbc="T T T"
Pm 0.000 2.137 0.055
Pm 2.483 5.452 8.702
Pm 0.000 5.548 3.580
Pm 2.483 2.233 5.177
In 0.000 3.792 7.065
In 2.483 0.477 1.692
In 2.483 5.482 5.476
In 0.000 2.167 3.281
Tm 2.483 3.822 1.891
Tm 0.000 0.507 6.866
```

Calculated values
Uncorrected energy: -4.22 eV/atom
Space group: Cmc2_1, No. 36

A relaxed Pm2Tm2In3 crystal, computed with PBE-GGA.

Cell and atoms, written as extended XYZ:
```
7
Lattice="3.751 -0.009 0.008 -1.853 6.382 -1.252 -0.018 -1.810 8.881" Properties=species:S:1:pos:R:3 pbc="T T T"
Tm 1.867 0.135 6.972
Tm 0.013 4.427 0.665
In 1.877 1.949 1.373
In 0.003 2.613 6.264
In 0.000 0.000 0.000
Pm 1.887 3.921 3.918
Pm -0.007 0.641 3.719
```

Calculated values
Uncorrected energy: -4.08 eV/atom
Space group: P-1, No. 2

A relaxed Pm4Tm5In crystal, computed with PBE-GGA.

Cell and atoms, written as extended XYZ:
```
10
Lattice="3.580 0.000 0.000 0.000 3.580 0.000 0.000 0.000 24.183" Properties=species:S:1:pos:R:3 pbc="T T T"
Tm 1.790 1.790 17.087
Tm 1.790 1.790 22.136
Tm 1.790 1.790 7.096
Tm 1.790 1.790 12.092
Tm 1.790 1.790 2.047
Pm 0.000 0.000 4.544
Pm 0.000 0.000 14.592
Pm 0.000 0.000 19.639
Pm 0.000 0.000 9.591
In 0.000 0.000 0.000
```

Calculated values
Uncorrected energy: -4.49 eV/atom
Space group: P4/mmm, No. 123

A relaxed Pm8Tm5In crystal, computed with PBE-GGA.

Cell and atoms, written as extended XYZ:
```
14
Lattice="2.719 -6.893 -4.706 0.638 -5.634 6.912 -7.294 4.507 -1.880" Properties=species:S:1:pos:R:3 pbc="T T T"
Tm -2.097 0.666 -0.618
Tm 2.087 -7.360 -2.434
Tm -1.872 -6.805 0.116
Tm 1.156 -7.123 5.257
Tm -2.291 -1.194 -3.298
In -4.246 -1.042 1.195
Pm -0.654 -5.065 -2.465
Pm 1.514 -7.975 1.378
Pm -2.177 -4.009 -5.209
Pm -2.801 -2.703 3.485
Pm -4.222 -5.294 1.991
Pm -2.089 -3.123 -0.064
Pm -5.846 -0.251 -1.621
Pm 0.449 -3.699 3.696
```

Calculated values
Uncorrected energy: -4.40 eV/atom
Space group: C2, No. 5

A relaxed Pm7TmIn4 crystal, computed with PBE-GGA.

Cell and atoms, written as extended XYZ:
```
12
Lattice="5.803 0.000 0.000 2.902 8.952 0.580 2.902 0.771 7.314" Properties=species:S:1:pos:R:3 pbc="T T T"
In 2.902 3.013 0.399
In 8.705 6.711 7.495
In 5.803 6.992 3.092
In 5.803 2.732 4.802
Pm 5.803 6.560 6.112
Pm 5.803 3.164 1.782
Pm 8.705 8.299 4.384
Pm 2.902 1.424 3.510
Pm 2.902 0.000 0.000
Pm 2.902 5.638 2.302
Pm 8.705 4.086 5.592
Tm 0.000 0.000 0.000
```

Calculated values
Uncorrected energy: -4.19 eV/atom
Space group: C2/m, No. 12

A relaxed Pm3TmIn3 crystal, computed with PBE-GGA.

Cell and atoms, written as extended XYZ:
```
14
Lattice="6.686 0.683 0.227 -2.367 6.290 0.227 -0.443 -0.715 9.750" Properties=species:S:1:pos:R:3 pbc="T T T"
In 4.789 3.387 7.560
In 0.899 5.796 7.560
In 2.977 0.462 2.644
In -0.244 -0.394 7.505
In -0.913 2.871 2.644
In 4.120 6.653 2.699
Pm 2.424 3.913 3.369
Pm 4.825 1.341 5.102
Pm 4.567 1.996 0.227
Pm 1.453 2.345 6.835
Pm -0.247 4.978 0.227
Pm -0.949 4.917 5.102
Tm 1.205 1.945 0.507
Tm 2.672 4.313 9.697
```

Calculated values
Uncorrected energy: -4.13 eV/atom
Space group: C2/m, No. 12

A relaxed Pm6TmIn2 crystal, computed with PBE-GGA.

Cell and atoms, written as extended XYZ:
```
9
Lattice="4.787 0.000 0.760 2.198 5.451 1.613 0.781 -0.115 10.539" Properties=species:S:1:pos:R:3 pbc="T T T"
Pm 4.027 1.092 5.549
Pm 3.739 4.244 7.362
Pm 3.261 2.334 10.372
Pm 6.023 1.762 8.432
Pm 1.743 3.574 4.480
Pm 4.504 3.002 2.540
Tm 0.000 0.000 0.000
In 5.738 4.792 10.228
In 2.028 0.544 2.684
```

Calculated values
Uncorrected energy: -4.49 eV/atom
Space group: C2/m, No. 12

A relaxed Pm3Tm8In crystal, computed with PBE-GGA.

Cell and atoms, written as extended XYZ:
```
12
Lattice="-6.146 -2.184 5.423 0.754 -7.359 -4.151 8.268 1.790 0.622" Properties=species:S:1:pos:R:3 pbc="T T T"
Tm 2.588 -5.169 -2.918
Tm 1.314 -2.969 -0.654
Tm -3.024 -1.953 4.342
Tm 1.562 -4.783 2.548
Tm 0.288 -2.583 4.812
Tm 3.630 -5.362 0.051
Tm -0.754 -2.390 1.843
Tm 5.900 -5.799 -2.448
In 2.122 -0.393 6.045
Pm -0.359 -6.214 -0.278
Pm 3.235 -1.538 2.172
Pm -1.635 -4.968 3.658
```

Calculated values
Uncorrected energy: -4.21 eV/atom
Space group: Immm, No. 71